No. 1
The following is a DFT calculation (PBE) of crystalline NaPrNO at its relaxed geometry.

Cell lengths 3.909, 3.909, 8.335 Å; angles 90.00, 90.00, 90.00 degrees
Space group P4/nmm (No. 129, origin choice 2)
Unique sites:
Na 0.250 0.750 0.000 x2
Pr 0.250 0.250 0.349 x2
N 0.250 0.250 0.825 x2
O 0.250 0.750 0.500 x2

Calculated values
Magnetization, μB per atom: 0.25
ρ, g cm⁻³: 5.1
Energy relative to the lowest polymorph listed for this composition, eV per atom: 0.186


No. 2
The following is a DFT calculation (PBE) of crystalline CuCl2 at its relaxed geometry.

Cell lengths 3.551, 3.551, 11.270 Å; angles 90.00, 90.00, 90.00 degrees
Space group P4_2/nmc (No. 137, origin choice 2)
Unique sites:
Cu 0.250 0.750 0.250 x2
Cl 0.250 0.250 0.128 x4

Calculated values
Energy, eV/cell: -17.358
ρ, g cm⁻³: 3.1